Record 1
A plane-wave DFT calculation with PBE-GGA was carried out for an optimized crystal structure of Ti2Ge2P.

abc: 6.573 6.573 3.856
angles: 90.00 90.00 90.00
Fractional positions:
Ti1 0.176 0.324 0.000
Ti2 0.324 0.824 0.000
Ti3 0.676 0.176 0.000
Ti4 0.824 0.676 0.000
Ge1 0.134 0.634 0.500
Ge2 0.366 0.134 0.500
Ge3 0.634 0.866 0.500
Ge4 0.866 0.366 0.500
P1 0.000 0.000 0.000
P2 0.500 0.500 0.000

volume = 83 Å³/f.u.
energy relative to the elements = -0.519 eV per atom
E_tot = -6.6056 eV per atom


Record 2
A plane-wave DFT calculation with PBE-GGA was carried out for an optimized crystal structure of TiGeP2.

abc: 6.814 6.814 6.814
angles: 130.85 130.85 72.05
Fractional positions:
Ti1 0.000 0.000 0.000
Ti2 0.750 0.250 0.500
Ge1 0.250 0.750 0.500
Ge2 0.500 0.500 0.000
P1 0.119 0.625 0.994
P2 0.375 0.369 0.494
P3 0.631 0.125 0.006
P4 0.875 0.881 0.506

volume = 89 Å³/f.u.
energy relative to the elements = -0.191 eV per atom
E_tot = -6.0237 eV per atom
relative energy among the computed polymorphs = 0.1457 eV/atom


Record 3
A plane-wave DFT calculation with PBE-GGA was carried out for an optimized crystal structure of TiGeP3.

abc: 4.702 4.702 4.702
angles: 90.00 90.00 90.00
Fractional positions:
Ti1 0.000 0.000 0.000
Ge1 0.500 0.500 0.500
P1 0.000 0.000 0.500
P2 0.000 0.500 0.000
P3 0.500 0.000 0.000

volume = 104 Å³/f.u.
energy relative to the elements = 0.367 eV per atom
E_tot = -5.3810 eV per atom
relative energy among the computed polymorphs = 0.0000 eV/atom


Record 4
A plane-wave DFT calculation with PBE-GGA was carried out for an optimized crystal structure of Ti8GeP2.

abc: 6.593 6.593 4.619
angles: 98.37 98.37 112.73
Fractional positions:
Ti1 0.077 0.320 0.582
Ti2 0.243 0.757 0.000
Ti3 0.320 0.077 0.582
Ti4 0.389 0.389 0.180
Ti5 0.611 0.611 0.820
Ti6 0.680 0.923 0.418
Ti7 0.757 0.243 0.000
Ti8 0.923 0.680 0.418
Ge1 0.000 0.000 0.000
P1 0.313 0.687 0.500
P2 0.687 0.313 0.500

volume = 179 Å³/f.u.
energy relative to the elements = -0.582 eV per atom
E_tot = -7.7269 eV per atom


Record 5
A plane-wave DFT calculation with PBE-GGA was carried out for an optimized crystal structure of TiGeP2.

abc: 7.009 7.009 7.009
angles: 28.82 28.82 28.82
Fractional positions:
Ti1 0.000 0.000 0.000
Ge1 0.157 0.157 0.157
P1 0.414 0.414 0.414
P2 0.598 0.598 0.598

volume = 71 Å³/f.u.
energy relative to the elements = -0.336 eV per atom
E_tot = -6.1694 eV per atom
relative energy among the computed polymorphs = 0.0000 eV/atom


Record 6
A plane-wave DFT calculation with PBE-GGA was carried out for an optimized crystal structure of Ti4GeP.

abc: 5.826 6.024 6.022
angles: 90.00 92.88 90.00
Fractional positions:
Ti1 0.130 0.151 0.160
Ti2 0.130 0.349 0.660
Ti3 0.359 0.636 0.124
Ti4 0.359 0.864 0.624
Ti5 0.641 0.136 0.376
Ti6 0.641 0.364 0.876
Ti7 0.870 0.651 0.340
Ti8 0.870 0.849 0.840
Ge1 0.500 0.000 0.000
Ge2 0.500 0.500 0.500
P1 0.000 0.000 0.500
P2 0.000 0.500 0.000

volume = 106 Å³/f.u.
energy relative to the elements = -0.412 eV per atom
E_tot = -7.3460 eV per atom
relative energy among the computed polymorphs = 0.3576 eV/atom


Record 7
A plane-wave DFT calculation with PBE-GGA was carried out for an optimized crystal structure of Ti4GeP.

abc: 6.073 6.073 5.038
angles: 90.00 90.00 90.00
Fractional positions:
Ti1 0.148 0.338 0.000
Ti2 0.148 0.662 0.500
Ti3 0.338 0.148 0.500
Ti4 0.338 0.852 0.000
Ti5 0.662 0.148 0.000
Ti6 0.662 0.852 0.500
Ti7 0.852 0.338 0.500
Ti8 0.852 0.662 0.000
Ge1 0.500 0.500 0.250
Ge2 0.500 0.500 0.750
P1 0.000 0.000 0.250
P2 0.000 0.000 0.750

volume = 93 Å³/f.u.
energy relative to the elements = -0.769 eV per atom
E_tot = -7.7037 eV per atom
relative energy among the computed polymorphs = 0.0000 eV/atom


Record 8
A plane-wave DFT calculation with PBE-GGA was carried out for an optimized crystal structure of TiGeP3.

abc: 4.617 4.617 4.617
angles: 90.00 90.00 90.00
Fractional positions:
Ti1 0.000 0.000 0.000
Ge1 0.500 0.500 0.500
P1 0.000 0.500 0.500
P2 0.500 0.000 0.500
P3 0.500 0.500 0.000

volume = 98 Å³/f.u.
energy relative to the elements = 0.883 eV per atom
E_tot = -4.8649 eV per atom
relative energy among the computed polymorphs = 0.5160 eV/atom


Record 9
A plane-wave DFT calculation with PBE-GGA was carried out for an optimized crystal structure of Ti8Ge2P.

abc: 8.419 8.419 5.313
angles: 104.80 104.80 29.82
Fractional positions:
Ti1 0.018 0.018 0.262
Ti2 0.230 0.230 0.832
Ti3 0.347 0.347 0.469
Ti4 0.409 0.409 0.001
Ti5 0.591 0.591 0.999
Ti6 0.653 0.653 0.531
Ti7 0.770 0.770 0.168
Ti8 0.982 0.982 0.738
Ge1 0.176 0.176 0.259
Ge2 0.824 0.824 0.741
P1 0.500 0.500 0.500

volume = 181 Å³/f.u.
energy relative to the elements = -0.453 eV per atom
E_tot = -7.5264 eV per atom


Record 10
A plane-wave DFT calculation with PBE-GGA was carried out for an optimized crystal structure of Ti3GeP.

abc: 4.519 4.519 4.519
angles: 90.00 90.00 90.00
Fractional positions:
Ti1 0.000 0.000 0.500
Ti2 0.000 0.500 0.000
Ti3 0.500 0.000 0.000
Ge1 0.500 0.500 0.500
P1 0.000 0.000 0.000

volume = 92 Å³/f.u.
energy relative to the elements = -0.205 eV per atom
E_tot = -6.9470 eV per atom
relative energy among the computed polymorphs = 0.2824 eV/atom


Record 11
A plane-wave DFT calculation with PBE-GGA was carried out for an optimized crystal structure of TiGeP2.

abc: 4.482 4.482 4.482
angles: 60.00 60.00 60.00
Fractional positions:
Ti1 0.000 0.000 0.000
Ge1 0.500 0.500 0.500
P1 0.250 0.250 0.250
P2 0.750 0.750 0.750

volume = 64 Å³/f.u.
energy relative to the elements = 0.052 eV per atom
E_tot = -5.7808 eV per atom
relative energy among the computed polymorphs = 0.3886 eV/atom


Record 12
A plane-wave DFT calculation with PBE-GGA was carried out for an optimized crystal structure of Ti3GeP.

abc: 6.528 6.528 6.817
angles: 96.22 96.22 39.29
Fractional positions:
Ti1 0.041 0.041 0.288
Ti2 0.167 0.167 0.976
Ti3 0.278 0.278 0.364
Ti4 0.722 0.722 0.636
Ti5 0.833 0.833 0.024
Ti6 0.959 0.959 0.712
Ge1 0.361 0.361 0.820
Ge2 0.639 0.639 0.180
P1 0.141 0.141 0.613
P2 0.859 0.859 0.387

volume = 91 Å³/f.u.
energy relative to the elements = -0.487 eV per atom
E_tot = -7.2294 eV per atom
relative energy among the computed polymorphs = 0.0000 eV/atom


- Among the records above, which one has the lowest volume?
  number 11


- The lowest E_tot belongs to which entry?
  Ti8GeP2


Repeat the first record exactly.
A plane-wave DFT calculation with PBE-GGA was carried out for an optimized crystal structure of Ti2Ge2P.

abc: 6.573 6.573 3.856
angles: 90.00 90.00 90.00
Fractional positions:
Ti1 0.176 0.324 0.000
Ti2 0.324 0.824 0.000
Ti3 0.676 0.176 0.000
Ti4 0.824 0.676 0.000
Ge1 0.134 0.634 0.500
Ge2 0.366 0.134 0.500
Ge3 0.634 0.866 0.500
Ge4 0.866 0.366 0.500
P1 0.000 0.000 0.000
P2 0.500 0.500 0.000

volume = 83 Å³/f.u.
energy relative to the elements = -0.519 eV per atom
E_tot = -6.6056 eV per atom


Repeat the fifth record exactly.
A plane-wave DFT calculation with PBE-GGA was carried out for an optimized crystal structure of TiGeP2.

abc: 7.009 7.009 7.009
angles: 28.82 28.82 28.82
Fractional positions:
Ti1 0.000 0.000 0.000
Ge1 0.157 0.157 0.157
P1 0.414 0.414 0.414
P2 0.598 0.598 0.598

volume = 71 Å³/f.u.
energy relative to the elements = -0.336 eV per atom
E_tot = -6.1694 eV per atom
relative energy among the computed polymorphs = 0.0000 eV/atom